Compound: SmDyS3
Source: Alexandria via LeMat-Bulk
Functional: PBE
Structure: relaxed

a b c (Å): 3.9365 7.8326 7.8178
angles (deg): 94.38 90.00 90.00
Last column: nearest neighbours and their distance in Å.
Sites, in units of the cell vectors:
S 0.7500 0.6242 0.3863  2 Dy 2.74, 3 Sm 2.94-3.00
S 0.7500 0.3206 0.9796  1 Dy 2.62, 2 Sm 2.79
Dy 0.7500 0.1462 0.6797  6 S 2.62-2.80
S 0.2500 0.3758 0.6137  2 Dy 2.74, 3 Sm 2.94-3.00
S 0.2500 0.6794 0.0204  1 Dy 2.62, 2 Sm 2.79
Sm 0.2500 0.3796 0.2307  8 S 2.79-3.06
Sm 0.7500 0.6204 0.7693  8 S 2.79-3.06
Dy 0.2500 0.8538 0.3203  6 S 2.62-2.80
S 0.7500 0.1012 0.3206  3 Dy 2.76-2.80, 2 Sm 3.06
S 0.2500 0.8988 0.6794  3 Dy 2.76-2.80, 2 Sm 3.06

* size of the total moment: 0.00 Bohr magnetons per cell
* E_form (uncorrected): -197.9 kJ per mole of atoms
* ΔE to the lowest computed polymorph: 30 meV per atom

***

Compound: Sm4DyS5
Source: Alexandria via LeMat-Bulk
Functional: PBE
Structure: relaxed

a b c (Å): 3.9854 3.9854 14.4091
angles (deg): 97.95 97.95 90.00
Last column: nearest neighbours and their distance in Å.
Sites, in units of the cell vectors:
S 0.9026 0.9026 0.8051  1 Dy 2.75, 5 Sm 2.82-2.83
S 0.2986 0.2986 0.5973  6 Sm 2.82-2.86
Dy 0.0000 0.0000 0.0000  6 S 2.75-2.82
Sm 0.3991 0.3991 0.7983  6 S 2.82-2.85
Sm 0.1975 0.1975 0.3950  6 S 2.82-2.86
S 0.5000 0.5000 0.0000  4 Dy 2.82, 2 Sm 2.85
Sm 0.6009 0.6009 0.2017  6 S 2.82-2.85
S 0.0974 0.0974 0.1949  1 Dy 2.75, 5 Sm 2.82-2.83
S 0.7014 0.7014 0.4027  6 Sm 2.82-2.86
Sm 0.8025 0.8025 0.6050  6 S 2.82-2.86

* size of the total moment: 0.00 Bohr magnetons per cell
* E_form (uncorrected): -194.2 kJ per mole of atoms

***

Compound: SmDyS2
Source: Alexandria via LeMat-Bulk
Functional: PBE
Structure: relaxed

a b c (Å): 3.8661 3.8661 7.2313
angles (deg): 74.50 74.50 60.00
Last column: nearest neighbours and their distance in Å.
Sites, in units of the cell vectors:
Dy 0.4943 0.4943 0.5172  6 S 2.73-2.87
S 0.2485 0.2485 0.2544  3 Dy 2.87, 3 Sm 2.91
S 0.0847 0.0847 0.7459  3 Dy 2.73, 3 Sm 2.76
Sm 0.6725 0.6725 0.9825  6 S 2.76-2.91

* size of the total moment: 0.00 Bohr magnetons per cell
* E_form (uncorrected): -189.1 kJ per mole of atoms
* ΔE to the lowest computed polymorph: 52 meV per atom

***

Compound: Sm2Dy3S6
Source: Alexandria via LeMat-Bulk
Functional: PBE
Structure: relaxed

a b c (Å): 6.8374 6.8179 6.8361
angles (deg): 80.41 70.60 59.91
Last column: nearest neighbours and their distance in Å.
Sites, in units of the cell vectors:
Dy 0.6632 0.6736 0.0000  6 S 2.74-2.79
Sm 0.8346 0.3308 0.5000  6 S 2.80-2.83
S 0.4138 0.6673 0.7590  3 Dy 2.75-2.79, 2 Sm 2.83
Dy 0.0000 0.0000 0.0000  6 S 2.75-2.79
S 0.5862 0.3327 0.2410  3 Dy 2.75-2.79, 2 Sm 2.83
S 0.0811 0.3327 0.7590  3 Dy 2.75-2.79, 2 Sm 2.83
S 0.9189 0.6673 0.2410  3 Dy 2.75-2.79, 2 Sm 2.83
Dy 0.3368 0.3264 0.0000  6 S 2.74-2.79
Sm 0.1654 0.6692 0.5000  6 S 2.80-2.83
S 0.2539 0.0000 0.2463  3 Dy 2.74-2.79, 2 Sm 2.80
S 0.7461 0.0000 0.7537  3 Dy 2.74-2.79, 2 Sm 2.80

* size of the total moment: 0.00 Bohr magnetons per cell
* E_form (uncorrected): -200.1 kJ per mole of atoms

***

Compound: Sm3DyS4
Source: Alexandria via LeMat-Bulk
Functional: PBE
Structure: relaxed

a b c (Å): 6.9158 6.9325 7.9048
angles (deg): 90.00 90.00 109.39
Last column: nearest neighbours and their distance in Å.
Sites, in units of the cell vectors:
Sm 0.7500 0.5000 0.1260  6 S 2.81-2.86
S 0.0035 0.7535 0.3713  1 Dy 2.77, 5 Sm 2.81-2.85
S 0.4965 0.2465 0.3713  1 Dy 2.77, 5 Sm 2.81-2.85
Sm 0.7500 0.5000 0.6238  6 S 2.83-2.86
S 0.5035 0.7535 0.6287  1 Dy 2.77, 5 Sm 2.81-2.85
S 0.9965 0.2465 0.6287  1 Dy 2.77, 5 Sm 2.81-2.85
S 0.4998 0.7568 0.1214  2 Dy 2.78-2.79, 4 Sm 2.82-2.86
S 0.9998 0.7568 0.8786  2 Dy 2.78-2.79, 4 Sm 2.82-2.86
S 0.5002 0.2432 0.8786  2 Dy 2.78-2.79, 4 Sm 2.82-2.86
Dy 0.7500 0.0000 0.8740  6 S 2.77-2.79
Sm 0.7500 0.0000 0.3758  6 S 2.81-2.83
Sm 0.2500 0.5000 0.3762  6 S 2.83-2.86
Sm 0.2500 0.5000 0.8740  6 S 2.81-2.86
Sm 0.2500 0.0000 0.6242  6 S 2.81-2.83
Dy 0.2500 0.0000 0.1260  6 S 2.77-2.79
S 0.0002 0.2432 0.1214  2 Dy 2.78-2.79, 4 Sm 2.82-2.86

* size of the total moment: 0.00 Bohr magnetons per cell
* E_form (uncorrected): -194.7 kJ per mole of atoms
* ΔE to the lowest computed polymorph: 0 meV per atom

***

Compound: Sm2DyS4
Source: Alexandria via LeMat-Bulk
Functional: PBE
Structure: relaxed

a b c (Å): 3.8476 6.9016 13.3122
angles (deg): 90.00 90.00 106.19
Last column: nearest neighbours and their distance in Å.
Sites, in units of the cell vectors:
S 0.5000 0.0000 0.0000  4 Sm 2.75
Sm 0.1293 0.2587 0.4288  6 S 2.75-2.88
S 0.2214 0.4429 0.6247  2 Dy 2.83, 3 Sm 2.85-2.88
Sm 0.1293 0.2587 0.0712  6 S 2.75-2.88
S 0.7786 0.5571 0.3753  2 Dy 2.83, 3 Sm 2.85-2.88
S 0.5000 0.0000 0.5000  4 Sm 2.75
S 0.2214 0.4429 0.8753  2 Dy 2.83, 3 Sm 2.85-2.88
S 0.0209 0.0418 0.2500  2 Dy 2.75, 2 Sm 2.78
Sm 0.8707 0.7413 0.9288  6 S 2.75-2.88
S 0.9791 0.9582 0.7500  2 Dy 2.75, 2 Sm 2.78
Sm 0.8707 0.7413 0.5712  6 S 2.75-2.88
Dy 0.6274 0.2549 0.7500  6 S 2.75-2.83
Dy 0.3726 0.7451 0.2500  6 S 2.75-2.83
S 0.7786 0.5571 0.1247  2 Dy 2.83, 3 Sm 2.85-2.88

* size of the total moment: 0.00 Bohr magnetons per cell
* E_form (uncorrected): -195.4 kJ per mole of atoms
* ΔE to the lowest computed polymorph: 15 meV per atom

***

Compound: Sm4Dy3S8
Source: Alexandria via LeMat-Bulk
Functional: PBE
Structure: relaxed

a b c (Å): 7.9178 7.9097 7.9097
angles (deg): 89.98 120.06 120.06
Last column: nearest neighbours and their distance in Å.
Sites, in units of the cell vectors:
S 0.5000 0.7470 0.2530  3 Dy 2.76-2.80, 3 Sm 2.80-2.83
S 0.0000 0.7473 0.2527  2 Dy 2.80, 3 Sm 2.80-2.83
S 0.9936 0.7443 0.7443  1 Dy 2.76, 4 Sm 2.80-2.83
Dy 0.5000 0.5000 0.5000  6 S 2.76
Sm 0.0000 0.5000 0.0000  6 S 2.80
S 0.4940 0.7439 0.7439  3 Dy 2.76-2.80, 2 Sm 2.83
Sm 0.0000 0.0000 0.5000  6 S 2.80
Sm 0.5000 0.0000 0.0000  6 S 2.83
S 0.5060 0.2561 0.2561  3 Dy 2.76-2.80, 2 Sm 2.83
S 0.0000 0.2527 0.7473  2 Dy 2.80, 3 Sm 2.80-2.83
S 0.5000 0.2530 0.7470  3 Dy 2.76-2.80, 3 Sm 2.80-2.83
Dy 0.5000 0.0000 0.5000  6 S 2.80
S 0.0064 0.2557 0.2557  1 Dy 2.76, 4 Sm 2.80-2.83
Sm 0.0000 0.0000 0.0000  6 S 2.83
Dy 0.5000 0.5000 0.0000  6 S 2.80

* size of the total moment: 0.00 Bohr magnetons per cell
* E_form (uncorrected): -197.0 kJ per mole of atoms

***

Compound: SmDyS3
Source: Alexandria via LeMat-Bulk
Functional: PBE
Structure: relaxed

a b c (Å): 3.9555 7.3660 15.3334
angles (deg): 90.00 90.00 90.00
Last column: nearest neighbours and their distance in Å.
Sites, in units of the cell vectors:
S 0.2500 0.5109 0.1062  3 Dy 2.74-2.91
Dy 0.2500 0.7677 0.5432  7 S 2.74-2.91
S 0.7500 0.1244 0.0645  3 Dy 2.78-2.91, 2 Sm 2.90, 1 S 3.08
S 0.7500 0.9891 0.6062  3 Dy 2.74-2.91
S 0.7500 0.8513 0.2167  4 Sm 2.79-2.93, 1 Dy 2.80, 1 S 3.08
Sm 0.2500 0.1432 0.2024  8 S 2.79-3.09
Dy 0.2500 0.2677 0.9568  7 S 2.74-2.91
Sm 0.7500 0.3568 0.7024  8 S 2.79-3.09
S 0.7500 0.3513 0.2833  4 Sm 2.79-2.93, 1 Dy 2.80, 1 S 3.08
S 0.2500 0.6487 0.7167  4 Sm 2.79-2.93, 1 Dy 2.80, 1 S 3.08
Sm 0.2500 0.6432 0.2976  8 S 2.79-3.09
Dy 0.7500 0.7323 0.0432  7 S 2.74-2.91
S 0.7500 0.4891 0.8938  3 Dy 2.74-2.91
S 0.2500 0.0109 0.3938  3 Dy 2.74-2.91
S 0.2500 0.8756 0.9355  3 Dy 2.78-2.91, 2 Sm 2.90, 1 S 3.08
Sm 0.7500 0.8568 0.7976  8 S 2.79-3.09
Dy 0.7500 0.2323 0.4568  7 S 2.74-2.91
S 0.7500 0.6244 0.4355  3 Dy 2.78-2.91, 2 Sm 2.90, 1 S 3.08
S 0.2500 0.3756 0.5645  3 Dy 2.78-2.91, 2 Sm 2.90, 1 S 3.08
S 0.2500 0.1487 0.7833  4 Sm 2.79-2.93, 1 Dy 2.80, 1 S 3.08

* size of the total moment: 0.00 Bohr magnetons per cell
* E_form (uncorrected): -200.8 kJ per mole of atoms
* ΔE to the lowest computed polymorph: 0 meV per atom